DFT (PBE) results for a relaxed structure of TlFeAgSe3.

POSCAR file:
```
TlFeAgSe3
1.0
7.175 -1.817 0.000
7.175 1.817 0.000
0.000 0.000 10.633
Se Fe Ag Tl
6 2 2 2
direct
0.613 0.613 0.992 Se
0.044 0.044 0.250 Se
0.387 0.387 0.492 Se
0.956 0.956 0.750 Se
0.387 0.387 0.008 Se
0.613 0.613 0.508 Se
0.000 0.000 0.000 Fe
0.000 0.000 0.500 Fe
0.603 0.603 0.750 Ag
0.397 0.397 0.250 Ag
0.276 0.276 0.750 Tl
0.724 0.724 0.250 Tl
```

Summary:
Space group = Cmcm, No. 63
Raw total energy = -4.099 eV per atom
Calculated density = 7.2 g cm⁻³